Compound: ErMoO4F
Source: Alexandria
Functional: PBE with a Hubbard U
Structure: optimized geometry

Cell lengths 5.233, 12.379, 6.685 Å; angles 90.00, 113.50, 90.00 degrees
Element x y z (fractional)
Er 0.140 0.051 0.300
Er 0.140 0.449 0.800
Er 0.860 0.551 0.200
Er 0.860 0.949 0.700
Mo 0.418 0.143 0.868
Mo 0.418 0.357 0.368
Mo 0.582 0.643 0.632
Mo 0.582 0.857 0.132
O 0.188 0.065 0.963
O 0.188 0.435 0.463
O 0.262 0.652 0.405
O 0.262 0.848 0.905
O 0.306 0.222 0.296
O 0.306 0.278 0.796
O 0.499 0.068 0.662
O 0.499 0.432 0.162
O 0.501 0.568 0.838
O 0.501 0.932 0.338
O 0.694 0.722 0.204
O 0.694 0.778 0.704
O 0.738 0.152 0.095
O 0.738 0.348 0.595
O 0.812 0.565 0.537
O 0.812 0.935 0.037
F 0.038 0.598 0.961
F 0.038 0.902 0.461
F 0.962 0.098 0.539
F 0.962 0.402 0.039

Values from the calculation:
total moment = 0.0 μB per formula unit
density of states at the Fermi level = 0.000 states/eV per atom
DFT total energy = -7.39 eV/atom